# Na3Tm2ZrTe6, relaxed, DFT GGA-PBE
data_Na3Tm2ZrTe6
_chemical_formula_sum 'Na3 Tm2 Zr1 Te6'
_space_group_name_H-M_alt 'P 1'
_space_group_IT_number 1
_cell_length_a 7.443
_cell_length_b 7.443
_cell_length_c 8.022
_cell_angle_alpha 98.91
_cell_angle_beta 98.91
_cell_angle_gamma 120.01
loop_
_space_group_symop_operation_xyz
'x,y,z'
loop_
_atom_site_label
_atom_site_type_symbol
_atom_site_fract_x
_atom_site_fract_y
_atom_site_fract_z
Na1 Na 0.000 0.000 0.000
Na2 Na 0.330 0.670 0.000
Na3 Na 0.670 0.330 0.000
Tm1 Tm 0.166 0.834 0.500
Tm2 Tm 0.834 0.166 0.500
Zr1 Zr 0.500 0.500 0.500
Te1 Te 0.099 0.424 0.272
Te2 Te 0.251 0.251 0.729
Te3 Te 0.424 0.099 0.272
Te4 Te 0.576 0.901 0.728
Te5 Te 0.749 0.749 0.271
Te6 Te 0.901 0.576 0.728
# DOS at the Fermi energy = 4.93 states/eV/cell
# formation energy without anion corrections = -1.140 eV/atom
# total magnetic moment = 0.689 μB per formula unit
# V = 30.49 Å³ per atom
# crystal system = monoclinic